Record 1
DFT (PBE) results for a relaxed structure of La2Sm6Dy3Th.

Cell and atoms, written as POSCAR:
```
La2Sm6Dy3Th
1.0
6.2802 0.0009 0.0044
-3.1378 5.4402 0.0044
-1.0561 -1.8287 11.8153
La Th Sm Dy
2 1 6 3
direct
0.3333 0.6667 0.0000
0.6667 0.3333 0.0000
0.0000 0.0000 0.0000
0.2436 0.2436 0.7477
0.4133 0.0848 0.2525
0.0848 0.4133 0.2525
0.9152 0.5867 0.7475
0.7564 0.7564 0.2523
0.5867 0.9152 0.7475
0.1667 0.8333 0.5000
0.8333 0.1667 0.5000
0.5000 0.5000 0.5000
```

## Properties
Total DFT energy (no corrections)   -4.917 eV/atom
Formation enthalpy at 0 K   0.033 eV/atom
Density   7811 kg/m3

Record 2
DFT (PBE) results for a relaxed structure of NiPbSe.

Cell and atoms, written as POSCAR:
```
NiPbSe
1.0
-0.0785 5.5409 2.7657
-2.3515 3.7130 4.3638
2.0501 -0.2730 2.6047
Se Ni Pb
1 1 1
direct
0.3904 0.3904 0.6096
0.9570 0.9570 0.0430
0.6525 0.6525 0.3475
```

## Properties
Total DFT energy (no corrections)   -4.352 eV/atom
Density   9035 kg/m3
Energy relative to the elements, uncorrected   -0.028 eV/atom

Record 3
DFT (PBE) results for a relaxed structure of CrRu2Au.

Cell and atoms, written as POSCAR:
```
CrRu2Au
1.0
9.1585 0.0207 0.0121
8.7462 2.7171 0.0121
8.7462 1.3374 2.3652
Cr Ru Au
1 2 1
direct
0.7500 0.7500 0.7500
0.4906 0.4906 0.4906
0.0094 0.0094 0.0094
0.2500 0.2500 0.2500
```

## Properties
Total DFT energy (no corrections)   -7.665 eV/atom
Formation enthalpy at 0 K   0.198 eV/atom
Density   12885 kg/m3

Record 4
DFT (PBE) results for a relaxed structure of ReHgW2.

Cell and atoms, written as POSCAR:
```
ReHgW2
1.0
4.5618 0.0000 0.0000
2.2809 3.9506 0.0000
2.2809 1.3169 3.7247
Hg Re W
1 1 2
direct
0.5000 0.5000 0.5000
0.7500 0.7500 0.7500
0.0000 0.0000 0.0000
0.2500 0.2500 0.2500
```

## Properties
Total DFT energy (no corrections)   -8.893 eV/atom
Formation enthalpy at 0 K   0.771 eV/atom
Density   18664 kg/m3